# Er3Mg3Al2Pt

An optimized crystal structure of Er3Mg3Al2Pt (GGA-PBE, OQMD via LeMat-Bulk).

Cell lengths 7.3508, 7.3508, 4.3374 Å; angles 90.00, 90.00, 120.00 degrees
Space group P-62m (No. 189)
Symmetry-distinct sites (fractional):
Er1 0.0000 0.5947 0.0000 x3
Mg1 0.0000 0.2381 0.5000 x3
Al1 0.3333 0.6667 0.5000 x2
Pt1 0.0000 0.0000 0.0000 x1

Summary:
- Total magnetization: 0.0 μB per cell
- E: -36.53 eV for the cell shown